(1)
Here is an optimized crystal structure of LaZnW2 from the Alexandria database. Energies are from GGA-PBE.

Cell: 5.712 5.712 5.712 Å, 145.00 128.25 64.01°
Fractional positions:
1 La 0.765 0.265 0.500
2 W 0.033 0.033 0.000
3 W 0.222 0.722 0.500
4 Zn 0.480 0.480 0.000

Values from the calculation:
* ΔH_f (0 K): 15.62 kcal/mol of atoms



(2)
Here is an optimized crystal structure of Er4Tl2SeS from the Alexandria database. Energies are from GGA-PBE.

Cell: 3.827 6.668 8.220 Å, 105.47 90.00 90.00°
Fractional positions:
1 Er 0.500 0.227 0.206
2 Er 0.500 0.773 0.794
3 Er 0.000 0.254 0.788
4 Er 0.000 0.746 0.212
5 Tl 0.500 0.000 0.500
6 Tl 0.000 0.500 0.500
7 Se 0.500 0.500 0.000
8 S 0.000 0.000 0.000

Values from the calculation:
* energy: -4.903 eV/atom



(3)
Here is an optimized crystal structure of Cd2GaAg2 from the Alexandria database. Energies are from GGA-PBE.

Cell: 8.401 8.401 2.962 Å, 90.00 90.00 90.00°
Fractional positions:
1 Ga 0.000 0.000 0.000
2 Ga 0.500 0.500 0.000
3 Ag 0.379 0.879 0.000
4 Ag 0.879 0.621 0.000
5 Ag 0.621 0.121 0.000
6 Ag 0.121 0.379 0.000
7 Cd 0.177 0.677 0.500
8 Cd 0.677 0.823 0.500
9 Cd 0.823 0.323 0.500
10 Cd 0.323 0.177 0.500

Values from the calculation:
* excess energy over the best structure of this formula in the dataset: 3.0 kJ/mol of atoms
* ΔH_f (0 K): 0.95 kcal/mol of atoms



(4)
Here is an optimized crystal structure of PuNbRh from the Alexandria database. Energies are from GGA-PBE.

Cell: 3.092 3.092 7.022 Å, 90.00 90.00 120.00°
Fractional positions:
1 Nb 0.333 0.667 0.694
2 Rh 0.000 0.000 0.976
3 Pu 0.667 0.333 0.329

Values from the calculation:
* excess energy over the best structure of this formula in the dataset: 17.4 kJ/mol of atoms
* ΔH_f (0 K): 1.65 kcal/mol of atoms



(5)
Here is an optimized crystal structure of MgCu2O3 from the Alexandria database. Energies are from GGA-PBE.

Cell: 3.225 4.080 9.454 Å, 90.00 90.00 90.00°
Fractional positions:
1 Mg 0.610 0.500 0.500
2 Mg 0.390 0.000 0.000
3 Cu 0.844 0.500 0.836
4 Cu 0.844 0.500 0.164
5 Cu 0.156 0.000 0.664
6 Cu 0.156 0.000 0.336
7 O 0.106 0.500 0.348
8 O 0.106 0.500 0.652
9 O 0.894 0.000 0.152
10 O 0.497 0.500 0.000
11 O 0.503 0.000 0.500
12 O 0.894 0.000 0.848

Values from the calculation:
* energy: -5.348 eV/atom



(6)
Here is an optimized crystal structure of Sr2ZnAg2 from the Alexandria database. Energies are from GGA-PBE.

Cell: 4.716 6.251 10.573 Å, 86.38 77.11 67.84°
Fractional positions:
1 Sr 0.677 0.307 0.340
2 Sr 0.920 0.274 0.886
3 Sr 0.323 0.693 0.660
4 Sr 0.080 0.726 0.114
5 Zn 0.626 0.100 0.648
6 Zn 0.374 0.900 0.352
7 Ag 0.086 0.267 0.562
8 Ag 0.628 0.863 0.881
9 Ag 0.914 0.733 0.438
10 Ag 0.372 0.137 0.119

Values from the calculation:
* excess energy over the best structure of this formula in the dataset: 0.0 kJ/mol of atoms
* ΔH_f (0 K): -6.72 kcal/mol of atoms



(7)
Here is an optimized crystal structure of SiWCl from the Alexandria database. Energies are from GGA-PBE.

Cell: 4.374 4.374 2.809 Å, 90.00 90.00 120.00°
Fractional positions:
1 Cl 0.000 0.000 0.833
2 Si 0.667 0.333 0.333
3 W 0.333 0.667 0.833

Values from the calculation:
* excess energy over the best structure of this formula in the dataset: 28.9 kJ/mol of atoms



(8)
Here is an optimized crystal structure of RbNaCdBr4 from the Alexandria database. Energies are from GGA-PBE.

Cell: 7.492 7.735 9.287 Å, 90.00 106.48 90.00°
Fractional positions:
1 Rb 0.769 0.750 0.949
2 Rb 0.231 0.250 0.051
3 Na 0.788 0.750 0.442
4 Na 0.212 0.250 0.558
5 Cd 0.244 0.750 0.333
6 Cd 0.756 0.250 0.667
7 Br 0.005 0.503 0.718
8 Br 0.995 0.003 0.282
9 Br 0.995 0.497 0.282
10 Br 0.005 0.997 0.718
11 Br 0.436 0.750 0.137
12 Br 0.564 0.250 0.863
13 Br 0.490 0.750 0.594
14 Br 0.510 0.250 0.406

Values from the calculation:
* energy: -2.711 eV/atom



(9)
Here is an optimized crystal structure of Ac2CdInPt6 from the Alexandria database. Energies are from GGA-PBE.

Cell: 7.098 7.098 7.098 Å, 60.00 60.00 90.00°
Fractional positions:
1 Ac 0.250 0.750 0.500
2 Ac 0.750 0.250 0.500
3 Cd 0.500 0.500 0.000
4 In 0.000 0.000 0.000
5 Pt 0.249 0.751 0.000
6 Pt 0.751 0.751 0.000
7 Pt 0.249 0.249 0.501
8 Pt 0.751 0.249 0.000
9 Pt 0.249 0.249 0.000
10 Pt 0.751 0.751 0.499

Values from the calculation:
* ΔH_f (0 K): -2.79 kcal/mol of atoms



(10)
Here is an optimized crystal structure of NaNiSn4 from the Alexandria database. Energies are from GGA-PBE.

Cell: 6.273 7.089 8.283 Å, 107.71 119.12 86.54°
Fractional positions:
1 Na 0.979 0.751 0.998
2 Na 0.021 0.249 0.002
3 Ni 0.500 0.000 0.500
4 Ni 0.000 0.500 0.500
5 Sn 0.454 0.043 0.805
6 Sn 0.591 0.420 0.178
7 Sn 0.546 0.957 0.195
8 Sn 0.409 0.580 0.822
9 Sn 0.919 0.864 0.595
10 Sn 0.301 0.637 0.412
11 Sn 0.081 0.136 0.405
12 Sn 0.699 0.363 0.588

Values from the calculation:
* ΔH_f (0 K): -1.70 kcal/mol of atoms



(11)
Here is an optimized crystal structure of ErTmGeRh from the Alexandria database. Energies are from GGA-PBE.

Cell: 4.893 4.893 4.893 Å, 60.00 60.00 60.00°
Fractional positions:
1 Ge 0.250 0.250 0.250
2 Tm 0.000 0.000 0.000
3 Rh 0.750 0.750 0.750
4 Er 0.500 0.500 0.500

Values from the calculation:
* excess energy over the best structure of this formula in the dataset: 11.6 kJ/mol of atoms
* ΔH_f (0 K): -17.65 kcal/mol of atoms



(12)
Here is an optimized crystal structure of SmYRh from the Alexandria database. Energies are from GGA-PBE.

Cell: 4.590 5.666 6.587 Å, 106.72 90.00 90.00°
Fractional positions:
1 Sm 0.752 0.578 0.295
2 Sm 0.252 0.429 0.708
3 Y 0.752 0.984 0.806
4 Y 0.252 0.024 0.197
5 Rh 0.752 0.159 0.442
6 Rh 0.252 0.849 0.562

Values from the calculation:
* excess energy over the best structure of this formula in the dataset: 3.5 kJ/mol of atoms
* ΔH_f (0 K): -11.97 kcal/mol of atoms



(13)
Here is an optimized crystal structure of Tl2PbF4 from the Alexandria database. Energies are from GGA-PBE.

Cell: 4.874 4.874 7.781 Å, 71.75 71.75 90.00°
Fractional positions:
1 Pb 0.000 0.000 0.000
2 Tl 0.353 0.353 0.295
3 Tl 0.647 0.647 0.705
4 F 0.176 0.176 0.648
5 F 0.824 0.824 0.352
6 F 0.000 0.500 0.000
7 F 0.500 0.000 0.000

Values from the calculation:
* excess energy over the best structure of this formula in the dataset: 3.4 kJ/mol of atoms



(14)
Here is an optimized crystal structure of MgTa4Cl from the Alexandria database. Energies are from GGA-PBE.

Cell: 5.602 5.602 5.602 Å, 60.00 60.00 60.00°
Fractional positions:
1 Mg 0.000 0.000 0.000
2 Ta 0.884 0.372 0.372
3 Ta 0.372 0.372 0.884
4 Ta 0.372 0.884 0.372
5 Ta 0.372 0.372 0.372
6 Cl 0.750 0.750 0.750

Values from the calculation:
* energy: -7.727 eV/atom



(15)
Here is an optimized crystal structure of Sm4BiPd2 from the Alexandria database. Energies are from GGA-PBE.

Cell: 8.903 8.903 7.238 Å, 108.21 108.21 119.93°
Fractional positions:
1 Sm 0.972 0.273 0.409
2 Sm 0.380 0.546 0.281
3 Sm 0.834 0.584 0.567
4 Sm 0.796 0.130 0.781
5 Sm 0.399 0.991 0.232
6 Sm 0.241 0.149 0.732
7 Sm 0.523 0.723 0.909
8 Sm 0.834 0.584 0.067
9 Bi 0.271 0.794 0.563
10 Bi 0.044 0.021 0.063
11 Pd 0.451 0.366 0.561
12 Pd 0.781 0.858 0.386
13 Pd 0.616 0.201 0.061
14 Pd 0.108 0.531 0.887

Values from the calculation:
* ΔH_f (0 K): -15.30 kcal/mol of atoms



(16)
Here is an optimized crystal structure of CaHfNi2 from the Alexandria database. Energies are from GGA-PBE.

Cell: 4.612 4.612 4.612 Å, 60.00 60.00 60.00°
Fractional positions:
1 Ni 0.250 0.250 0.250
2 Ni 0.750 0.750 0.750
3 Ca 0.000 0.000 0.000
4 Hf 0.500 0.500 0.500

Values from the calculation:
* excess energy over the best structure of this formula in the dataset: 19.9 kJ/mol of atoms
* ΔH_f (0 K): -2.43 kcal/mol of atoms



(17)
Here is an optimized crystal structure of La5Tl from the Alexandria database. Energies are from GGA-PBE.

Cell: 3.791 3.791 14.599 Å, 90.00 90.00 90.00°
Fractional positions:
1 La 0.000 0.000 0.853
2 La 0.000 0.000 0.147
3 La 0.500 0.500 0.678
4 La 0.500 0.500 0.322
5 La 0.000 0.000 0.500
6 Tl 0.500 0.500 0.000

Values from the calculation:
* excess energy over the best structure of this formula in the dataset: 0.9 kJ/mol of atoms
* ΔH_f (0 K): -2.84 kcal/mol of atoms



(18)
Here is an optimized crystal structure of YTm2In from the Alexandria database. Energies are from GGA-PBE.

Cell: 3.513 3.513 11.142 Å, 80.93 80.93 60.00°
Fractional positions:
1 Y 0.500 0.500 0.500
2 Tm 0.254 0.254 0.237
3 Tm 0.746 0.746 0.763
4 In 0.000 0.000 0.000

Values from the calculation:
* excess energy over the best structure of this formula in the dataset: 11.5 kJ/mol of atoms
* ΔH_f (0 K): -3.29 kcal/mol of atoms



(19)
Here is an optimized crystal structure of TaSiIr from the Alexandria database. Energies are from GGA-PBE.

Cell: 5.647 5.648 2.899 Å, 75.12 75.13 29.74°
Fractional positions:
1 Ir 0.020 0.020 0.980
2 Si 0.655 0.655 0.345
3 Ta 0.325 0.325 0.675

Values from the calculation:
* energy: -9.304 eV/atom



(20)
Here is an optimized crystal structure of Li2TbCeGe2 from the Alexandria database. Energies are from GGA-PBE.

Cell: 4.453 4.453 7.342 Å, 90.00 90.00 120.00°
Fractional positions:
1 Li 0.333 0.667 0.727
2 Li 0.667 0.333 0.273
3 Tb 0.000 0.000 0.500
4 Ce 0.000 0.000 0.000
5 Ge 0.333 0.667 0.254
6 Ge 0.667 0.333 0.746

Values from the calculation:
* ΔH_f (0 K): -14.24 kcal/mol of atoms